[1]
Here is SrMgMo after structural relaxation from Alexandria via LeMat-Bulk. Energies are from PBE.

Total moment, μB per formula unit: 0.36
Crystal system: trigonal
E, eV/atom: -3.852
Polymorph energy (0 for the lowest one), meV per atom: 114.7
Formation energy from the elements, eV/atom: 0.851

Structure (POSCAR):
```
SrMgMo
1.0
5.2660 0.0000 0.0000
-2.6330 4.5605 0.0000
0.0000 0.0000 2.9291
Sr Mg Mo
1 1 1
direct
0.0000 0.0000 0.0000 Sr
0.6667 0.3333 0.4511 Mg
0.3333 0.6667 0.5326 Mo
```



[2]
Here is Tl2HgP2 after structural relaxation from Alexandria via LeMat-Bulk. Energies are from PBE.

Total moment, μB per formula unit: 0.00
Crystal system: tetragonal
E, eV/atom: -3.057
Polymorph energy (0 for the lowest one), meV per atom: 0.0
Formation energy from the elements, eV/atom: 0.113

Structure (POSCAR):
```
Tl2HgP2
1.0
-1.7333 1.7333 10.4757
1.7333 -1.7333 10.4757
1.7333 1.7333 -10.4757
Tl Hg P
2 1 2
direct
0.1240 0.1240 0.0000 Tl
0.8760 0.8760 0.0000 Tl
0.5000 0.5000 0.0000 Hg
0.2500 0.7500 0.5000 P
0.7500 0.2500 0.5000 P
```



[3]
Here is In2SiAs after structural relaxation from Alexandria via LeMat-Bulk. Energies are from PBE.

Total moment, μB per formula unit: 0.00
Crystal system: tetragonal
E, eV/atom: -3.751
Polymorph energy (0 for the lowest one), meV per atom: 0.0
Formation energy from raw total energies, kJ/mol of atoms: 13.2

Structure (POSCAR):
```
In2SiAs
1.0
-3.0979 3.0979 6.0341
3.0979 -3.0979 6.0341
3.0979 3.0979 -6.0341
In Si As
4 2 2
direct
0.1173 0.6250 0.9923 In
0.3750 0.3673 0.4923 In
0.6327 0.1250 0.0077 In
0.8750 0.8827 0.5077 In
0.0000 0.0000 0.0000 Si
0.7500 0.2500 0.5000 Si
0.2500 0.7500 0.5000 As
0.5000 0.5000 0.0000 As
```



[4]
Here is Al2RhPb2 after structural relaxation from Alexandria via LeMat-Bulk. Energies are from PBE.

Total moment, μB per formula unit: 0.00
Crystal system: tetragonal
E, eV/atom: -4.173
Polymorph energy (0 for the lowest one), meV per atom: 0.0
Formation energy from the elements, eV/atom: 0.278

Structure (POSCAR):
```
Al2RhPb2
1.0
-1.7969 1.7969 8.8280
1.7969 -1.7969 8.8280
1.7969 1.7969 -8.8280
Al Rh Pb
2 1 2
direct
0.2500 0.7500 0.5000 Al
0.7500 0.2500 0.5000 Al
0.0000 0.0000 0.0000 Rh
0.4095 0.4095 0.0000 Pb
0.5905 0.5905 0.0000 Pb
```



[5]
Here is Tb8BiAu2 after structural relaxation from Alexandria via LeMat-Bulk. Energies are from PBE.

Total moment, μB per formula unit: 0.00
Crystal system: monoclinic
E, eV/atom: -4.743
Formation energy from the elements, eV/atom: -0.427

Structure (POSCAR):
```
Tb8BiAu2
1.0
9.1041 -2.5394 0.0000
9.1041 2.5394 0.0000
-1.7889 0.0000 6.9901
Tb Bi Au
8 1 2
direct
0.0346 0.0346 0.2515 Tb
0.2017 0.2017 0.8317 Tb
0.3272 0.3272 0.5335 Tb
0.4085 0.4085 0.0414 Tb
0.5915 0.5915 0.9586 Tb
0.6728 0.6728 0.4665 Tb
0.7983 0.7983 0.1683 Tb
0.9654 0.9654 0.7485 Tb
0.5000 0.5000 0.5000 Bi
0.1923 0.1923 0.2236 Au
0.8077 0.8077 0.7764 Au
```